(1)
Entry from the Alexandria database: a geometry-optimized B3SbPb structure (PBE-GGA).

abc: 4.5578 4.5578 4.5578
angles: 90.00 90.00 90.00
Atoms (fractional coordinates):
B1 0.0000 0.0000 0.5000
B2 0.0000 0.5000 0.0000
B3 0.5000 0.0000 0.0000
Sb1 0.0000 0.0000 0.0000
Pb1 0.5000 0.5000 0.5000

Computed properties:
space-group type: Pm-3m (221)
ρ: 6.34 Mg/m³
energy relative to the elements, uncorrected: 1.93 eV per atom
total magnetic moment: 0.00 μB per atom

(2)
Entry from the Alexandria database: a geometry-optimized TbCd6Cu6 structure (PBE-GGA).

abc: 7.1015 7.1015 7.1015
angles: 136.90 97.86 97.64
Atoms (fractional coordinates):
Tb1 0.0000 0.0000 0.0000
Cd1 0.1900 0.5000 0.6900
Cd2 0.3381 0.3381 0.0000
Cd3 0.3455 0.0000 0.3455
Cd4 0.6545 0.0000 0.6545
Cd5 0.6619 0.6619 0.0000
Cd6 0.8100 0.5000 0.3100
Cu1 0.0000 0.0000 0.5000
Cu2 0.0000 0.5000 0.0000
Cu3 0.2263 0.7263 0.5000
Cu4 0.5000 0.0000 0.0000
Cu5 0.5000 0.5000 0.5000
Cu6 0.7737 0.2737 0.5000

Computed properties:
space-group type: Immm (71)
ρ: 8.86 Mg/m³
energy of formation: -0.07 eV per atom
total magnetic moment: 0.00 μB per atom

(3)
Entry from the Alexandria database: a geometry-optimized Er2Zn5Pd4 structure (PBE-GGA).

abc: 9.6099 8.9067 5.1736
angles: 81.42 66.41 32.16
Atoms (fractional coordinates):
Er1 0.1376 0.1376 0.8624
Er2 0.8624 0.8624 0.1376
Zn1 0.0000 0.0000 0.5000
Zn2 0.2500 0.2500 0.2500
Zn3 0.5000 0.5000 0.0000
Zn4 0.5000 0.5000 0.5000
Zn5 0.7500 0.7500 0.7500
Pd1 0.2089 0.5362 0.4638
Pd2 0.4638 0.7911 0.2089
Pd3 0.5362 0.2089 0.7911
Pd4 0.7911 0.4638 0.5362

Computed properties:
space-group type: Fmmm (69)
ρ: 9.07 Mg/m³
energy of formation: -0.60 eV per atom
total magnetic moment: 0.00 μB per atom

(4)
Entry from the Alexandria database: a geometry-optimized Cs2PmPaO6 structure (PBE-GGA).

abc: 6.4301 6.4301 6.4301
angles: 60.00 60.00 60.00
Atoms (fractional coordinates):
Cs1 0.2500 0.2500 0.2500
Cs2 0.7500 0.7500 0.7500
Pm1 0.0000 0.0000 0.0000
Pa1 0.5000 0.5000 0.5000
O1 0.2620 0.2620 0.7380
O2 0.2620 0.7380 0.2620
O3 0.2620 0.7380 0.7380
O4 0.7380 0.2620 0.2620
O5 0.7380 0.2620 0.7380
O6 0.7380 0.7380 0.2620

Computed properties:
space-group type: Fm-3m (225)
ρ: 6.52 Mg/m³
energy relative to the elements, uncorrected: -2.47 eV per atom
total magnetic moment: 0.21 μB per atom

(5)
Entry from the Alexandria database: a geometry-optimized ScIr2 structure (PBE-GGA).

abc: 3.9066 12.3264 3.9825
angles: 90.00 90.00 90.00
Atoms (fractional coordinates):
Sc1 0.0000 0.0909 0.2500
Sc2 0.0000 0.9091 0.7500
Sc3 0.5000 0.4091 0.7500
Sc4 0.5000 0.5909 0.2500
Ir1 0.0000 0.2507 0.7500
Ir2 0.0000 0.4112 0.2500
Ir3 0.0000 0.5888 0.7500
Ir4 0.0000 0.7493 0.2500
Ir5 0.5000 0.0888 0.7500
Ir6 0.5000 0.2493 0.2500
Ir7 0.5000 0.7507 0.7500
Ir8 0.5000 0.9112 0.2500

Computed properties:
space-group type: Cmcm (63)
ρ: 14.87 Mg/m³
energy of formation: -0.60 eV per atom
total magnetic moment: 0.00 μB per atom

(6)
Entry from the Alexandria database: a geometry-optimized CeAlH structure (PBE-GGA).

abc: 3.0670 3.0670 11.1803
angles: 90.00 90.00 90.00
Atoms (fractional coordinates):
Ce1 0.0000 0.0000 0.0000
Ce2 0.5000 0.5000 0.5000
Al1 0.0000 0.0000 0.2870
Al2 0.5000 0.5000 0.7870
H1 0.0000 0.0000 0.5731
H2 0.5000 0.5000 0.0731

Computed properties:
space-group type: I4mm (107)
total DFT energy (no corrections): -4.378 eV/atom
ρ: 5.31 Mg/m³
total magnetic moment: 0.17 μB per atom

(7)
Entry from the Alexandria database: a geometry-optimized Ce2SmPbN2 structure (PBE-GGA).

abc: 4.5326 4.5326 6.7591
angles: 90.00 90.00 90.00
Atoms (fractional coordinates):
Ce1 0.0000 0.0000 0.2219
Ce2 0.0000 0.0000 0.7781
Sm1 0.5000 0.5000 0.0000
Pb1 0.5000 0.5000 0.5000
N1 0.0000 0.5000 0.0000
N2 0.5000 0.0000 0.0000

Computed properties:
space-group type: P4/mmm (123)
ρ: 7.96 Mg/m³
energy relative to the elements, uncorrected: -0.77 eV per atom
total magnetic moment: 0.26 μB per atom

- Number 3 is which compound?
  Er2Zn5Pd4

- Which formula does entry 5 have?
  ScIr2